Entry 1:
Below is Sr2Cu2H7 after structural relaxation, with properties calculated at the GGA-PBE level.

POSCAR file:
```
Sr2Cu2H7
1.0
3.584 0.215 0.281
-0.372 5.940 0.120
-0.372 -1.424 5.768
Sr Cu H
2 2 7
direct
0.500 0.240 0.760 Sr
0.500 0.760 0.240 Sr
0.001 0.766 0.766 Cu
0.999 0.234 0.234 Cu
0.001 0.520 0.828 H
0.999 0.172 0.480 H
0.999 0.480 0.172 H
0.001 0.828 0.520 H
0.499 0.230 0.230 H
0.000 0.000 0.000 H
0.501 0.770 0.770 H
```

Calculated values
E, eV per atom: -3.3768



Entry 2:
Below is B2PSe6 after structural relaxation, with properties calculated at the GGA-PBE level.

POSCAR file:
```
B2PSe6
1.0
5.836 0.448 0.434
2.227 8.523 -0.299
2.227 -0.023 8.528
B P Se
4 2 12
direct
0.115 0.669 0.819 B
0.385 0.181 0.331 B
0.885 0.331 0.181 B
0.615 0.819 0.669 B
0.250 0.239 0.761 P
0.750 0.761 0.239 P
0.279 0.806 0.653 Se
0.221 0.347 0.194 Se
0.721 0.194 0.347 Se
0.779 0.653 0.806 Se
0.903 0.767 0.443 Se
0.597 0.557 0.233 Se
0.097 0.233 0.557 Se
0.403 0.443 0.767 Se
0.100 0.768 0.035 Se
0.400 0.965 0.232 Se
0.900 0.232 0.965 Se
0.600 0.035 0.768 Se
```

Calculated values
Formation energy (no corrections), meV per atom: 25
E, eV per atom: -4.3834



Entry 3:
Below is Pr3Lu after structural relaxation, with properties calculated at the GGA-PBE level.

POSCAR file:
```
Pr3Lu
1.0
-0.942 -7.306 0.741
6.251 3.185 2.364
-2.428 0.848 5.278
Pr Lu
6 2
direct
0.169 0.337 0.250 Pr
0.663 0.831 0.250 Pr
0.169 0.831 0.250 Pr
0.831 0.663 0.750 Pr
0.337 0.169 0.750 Pr
0.831 0.169 0.750 Pr
0.333 0.667 0.750 Lu
0.667 0.333 0.250 Lu
```

Calculated values
Energy relative to the elements, eV/f.u.: 0.10
Polymorph energy (0 for the lowest one), meV per atom: 13
E, eV per atom: -4.6888



Entry 4:
Below is MnBiPt2 after structural relaxation, with properties calculated at the GGA-PBE level.

POSCAR file:
```
MnBiPt2
1.0
3.274 0.000 0.000
0.000 3.274 0.000
0.000 0.000 6.873
Mn Bi Pt
1 1 2
direct
0.500 0.500 0.000 Mn
0.500 0.500 0.500 Bi
0.000 0.000 0.794 Pt
0.000 0.000 0.206 Pt
```

Calculated values
Energy relative to the elements, eV/f.u.: -0.75
E, eV per atom: -6.4698



Entry 5:
Below is CsKLiHg2 after structural relaxation, with properties calculated at the GGA-PBE level.

POSCAR file:
```
CsKLiHg2
1.0
-2.629 4.834 -1.293
-3.615 -0.824 4.267
3.673 2.983 3.688
Cs K Hg Li
1 1 2 1
direct
0.500 0.500 0.500 Cs
0.000 0.000 0.500 K
0.000 0.500 0.000 Hg
0.500 0.000 0.000 Hg
0.000 0.000 0.000 Li
```

Calculated values
Energy relative to the elements, eV/f.u.: -0.44
Polymorph energy (0 for the lowest one), meV per atom: 0
E, eV per atom: -0.9826



Entry 6:
Below is NaAc2Hg8 after structural relaxation, with properties calculated at the GGA-PBE level.

POSCAR file:
```
NaAc2Hg8
1.0
5.356 0.000 0.000
0.000 7.549 -0.016
-2.678 -3.110 7.528
Na Ac Hg
1 2 8
direct
0.500 0.000 0.000 Na
0.793 0.327 0.587 Ac
0.207 0.673 0.413 Ac
0.401 0.573 0.801 Hg
0.648 0.868 0.296 Hg
0.847 0.851 0.693 Hg
0.992 0.276 0.985 Hg
0.153 0.149 0.307 Hg
0.352 0.132 0.704 Hg
0.599 0.427 0.199 Hg
0.008 0.724 0.015 Hg
```

Calculated values
Energy relative to the elements, eV/f.u.: -3.53
Polymorph energy (0 for the lowest one), meV per atom: 9
E, eV per atom: -1.4072



Entry 7:
Below is PrTmN2 after structural relaxation, with properties calculated at the GGA-PBE level.

POSCAR file:
```
PrTmN2
1.0
-2.569 -1.609 -1.649
3.853 -1.787 -4.258
1.129 -5.000 3.120
Pr Tm N
2 2 4
direct
0.500 0.910 0.000 Pr
0.000 0.090 0.500 Pr
0.500 0.579 0.500 Tm
0.000 0.421 0.000 Tm
0.000 0.733 0.743 N
0.500 0.267 0.757 N
0.000 0.733 0.257 N
0.500 0.267 0.243 N
```

Calculated values
Formation energy (no corrections), meV per atom: -1368
E, eV per atom: -7.8437



Entry 8:
Below is Rb3NiCl after structural relaxation, with properties calculated at the GGA-PBE level.

POSCAR file:
```
Rb3NiCl
1.0
6.255 0.000 0.000
0.000 6.255 0.000
0.000 0.000 6.255
Ni Rb Cl
1 3 1
direct
0.500 0.500 0.500 Ni
0.000 0.500 0.000 Rb
0.000 0.000 0.500 Rb
0.500 0.000 0.000 Rb
0.000 0.000 0.000 Cl
```

Calculated values
Formation energy (no corrections), meV per atom: -209
Polymorph energy (0 for the lowest one), meV per atom: 0
E, eV per atom: -2.3149